# GGA+U CrNiSbO6, optimized geometry
# total energy	-6.13	eV per atom
# Fermi-level density of states	9.378	states/eV per cell
data_CrNiSbO6
_chemical_formula_sum 'Cr2 Ni2 Sb2 O12'
_symmetry_space_group_name_H-M 'P 42 n m'
_symmetry_Int_Tables_number 102
_cell_length_a 4.590
_cell_length_b 4.590
_cell_length_c 9.207
_cell_angle_alpha 90.00
_cell_angle_beta 90.00
_cell_angle_gamma 90.00
loop_
_symmetry_equiv_pos_as_xyz
'x,y,z'
'-y+1/2,x+1/2,z+1/2'
'-x,-y,z'
'y+1/2,-x+1/2,z+1/2'
'-x+1/2,y+1/2,z+1/2'
'y,x,z'
'x+1/2,-y+1/2,z+1/2'
'-y,-x,z'
loop_
_atom_site_label
_atom_site_type_symbol
_atom_site_fract_x
_atom_site_fract_y
_atom_site_fract_z
_atom_site_occupancy
Cr1 Cr 0.000 0.000 0.000 1
Ni1 Ni 0.000 0.000 0.667 1
Sb1 Sb 0.000 0.000 0.334 1
O1 O 0.192 0.192 0.162 1
O2 O 0.193 0.193 0.839 1
O3 O 0.205 0.205 0.498 1